[1]
A relaxed BaCaBr crystal, computed with GGA-PBE.

## Properties
**E above lowest polymorph**: 0.040 eV/atom
**Fermi-level density of states**: 1.026 states/eV per atom
**Calculated volume**: 123.6 Å³/cell

POSCAR file:
```
BaCaBr
1.0
-0.117 -6.689 -5.885
-0.057 -8.227 -2.093
-3.625 -0.065 -1.899
Ca Ba Br
1 1 1
Cartesian
-1.243 -10.316 -6.095
-0.219 -14.723 -7.899
-2.512 -4.857 -3.860
```



[2]
A relaxed KLi2ErCl6 crystal, computed with GGA-PBE.

## Properties
**Fermi-level density of states**: 0.000 states/eV per atom
**Calculated volume**: 282.8 Å³/cell
**Electronic total energy**: -41.10 eV per cell

POSCAR file:
```
KLi2ErCl6
1.0
6.571 0.001 -0.004
3.286 5.691 -0.009
3.290 1.902 7.559
Cl Li K Er
6 2 1 1
Cartesian
7.659 1.889 6.508
5.460 5.697 1.817
8.772 3.810 1.818
7.686 5.692 6.502
4.378 3.813 6.506
5.482 1.885 1.823
9.858 5.693 0.230
6.570 3.794 0.528
9.859 5.695 4.158
3.286 1.898 0.386
```



[3]
A relaxed Tb4Al2CdHg crystal, computed with GGA-PBE.

## Properties
**Fermi-level density of states**: 0.953 states/eV per atom
**Calculated volume**: 201.6 Å³/cell
**E_form**: -0.382 eV per atom

POSCAR file:
```
Tb4Al2CdHg
1.0
-3.404 -3.859 0.888
1.043 -3.620 3.615
-4.669 2.292 7.413
Hg Tb Al Cd
1 4 2 1
Cartesian
-3.515 -2.594 5.958
-3.203 0.485 5.181
-2.070 -4.375 3.757
-4.960 -0.812 8.159
-3.826 -5.673 6.735
-1.735 -1.324 2.946
-5.294 -3.864 8.970
0.000 0.000 0.000
```



[4]
A relaxed BeZnPt2 crystal, computed with GGA-PBE.

## Properties
**E above lowest polymorph**: 0.192 eV/atom
**Fermi-level density of states**: 0.395 states/eV per atom
**Calculated volume**: 54.0 Å³/cell
**E_form**: -0.487 eV per atom

POSCAR file:
```
BeZnPt2
1.0
4.826 -0.005 0.003
4.000 2.700 0.003
1.210 0.370 4.139
Zn Be Pt
1 1 2
Cartesian
5.161 1.576 2.260
2.484 0.759 0.747
8.724 2.664 0.309
7.510 2.294 2.905
```



[5]
A relaxed FeAsN2Cl crystal, computed with GGA-PBE.

## Properties
**Fermi-level density of states**: 1.004 states/eV per atom
**Calculated volume**: 66.3 Å³/cell
**Electronic total energy**: -26.14 eV per cell

POSCAR file:
```
FeAsN2Cl
1.0
-0.892 3.374 -1.146
-2.472 0.764 4.174
3.046 1.335 1.560
N Cl Fe As
2 1 1 1
Cartesian
1.523 0.668 0.780
-0.446 1.687 -0.573
-1.236 0.382 2.087
0.000 0.000 0.000
-0.159 2.737 2.294
```



[6]
A relaxed RbTiTcTe2 crystal, computed with GGA-PBE.

## Properties
**Fermi-level density of states**: 0.436 states/eV per atom
**Calculated volume**: 148.9 Å³/cell
**Electronic total energy**: -24.56 eV per cell

POSCAR file:
```
RbTiTcTe2
1.0
5.614 0.000 0.000
0.000 4.725 0.000
0.000 0.000 5.614
Te Tc Ti Rb
2 1 1 1
Cartesian
0.000 0.000 2.807
2.807 0.000 0.000
0.000 2.362 0.000
0.000 0.000 0.000
2.807 2.362 2.807
```



[7]
A relaxed TiZnIrO6 crystal, computed with GGA-PBE.

## Properties
**Fermi-level density of states**: 0.671 states/eV per atom
**Calculated volume**: 200.9 Å³/cell
**Electronic total energy**: -122.31 eV per cell

POSCAR file:
```
TiZnIrO6
1.0
5.078 0.000 0.000
-2.539 4.398 0.000
0.000 0.000 8.996
Ti O Zn Ir
2 12 2 2
Cartesian
2.539 1.466 2.249
0.000 2.932 6.747
0.882 1.544 3.311
3.421 2.853 7.809
3.300 0.008 7.809
4.182 1.536 5.685
0.761 4.389 3.311
-1.643 2.862 3.311
1.643 2.862 1.187
-0.761 4.389 1.187
1.778 0.008 5.685
0.896 1.536 7.809
1.657 2.853 5.685
-0.882 1.544 1.187
0.000 0.000 4.498
0.000 0.000 0.000
2.539 1.466 6.747
0.000 2.932 2.249
```



[8]
A relaxed Zr4Ge2P crystal, computed with GGA-PBE.

## Properties
**E above lowest polymorph**: 0.373 eV/atom
**Fermi-level density of states**: 0.768 states/eV per atom
**Calculated volume**: 159.0 Å³/cell
**E_form**: -0.329 eV per atom

POSCAR file:
```
Zr4Ge2P
1.0
-1.447 -3.838 -2.252
0.141 -2.406 4.010
-7.556 -1.302 2.214
Ge Zr P
2 4 1
Cartesian
-2.550 -2.622 1.246
-6.312 -4.924 2.727
0.071 -1.203 2.005
-0.724 -1.919 -1.126
-3.696 -5.614 2.221
-5.166 -1.932 1.752
0.000 0.000 0.000
```



[9]
A relaxed Cs2PuPdSe4 crystal, computed with GGA-PBE.

## Properties
**Fermi-level density of states**: 1.475 states/eV per atom
**Calculated volume**: 663.4 Å³/cell
**Electronic total energy**: -83.81 eV per cell

POSCAR file:
```
Cs2PuPdSe4
1.0
6.624 0.000 0.000
3.312 7.873 0.000
3.312 0.000 12.722
Se Cs Pd Pu
8 4 2 2
Cartesian
5.108 6.177 1.058
4.827 1.696 1.058
10.076 5.633 7.419
3.452 2.240 5.303
6.483 2.240 7.419
11.451 6.177 11.664
5.108 1.696 11.664
6.483 5.633 5.303
8.280 3.936 10.879
6.624 0.000 4.518
8.280 3.936 1.843
3.312 0.000 8.204
3.312 0.000 0.000
4.968 3.936 6.361
0.000 0.000 0.000
8.280 3.936 6.361
```



[10]
A relaxed HfSb2H crystal, computed with GGA-PBE.

## Properties
**E above lowest polymorph**: 0.723 eV/atom
**Fermi-level density of states**: 1.167 states/eV per atom
**Calculated volume**: 83.6 Å³/cell

POSCAR file:
```
HfSb2H
1.0
-1.834 -3.372 3.059
-3.128 1.339 3.538
-4.732 -1.269 -0.298
H Sb Hf
1 2 1
Cartesian
0.000 0.000 0.000
-2.423 -0.826 1.575
-7.270 -2.477 4.724
-4.847 -1.651 3.149
```



[11]
A relaxed AcBiPb crystal, computed with GGA-PBE.

## Properties
**E above lowest polymorph**: 0.199 eV/atom
**Fermi-level density of states**: 0.720 states/eV per atom
**Calculated volume**: 103.8 Å³/cell
**E_form**: -0.396 eV per atom

POSCAR file:
```
AcBiPb
1.0
-2.304 -3.189 1.651
2.075 -2.783 -2.480
4.029 2.270 4.494
Pb Ac Bi
1 1 1
Cartesian
3.576 -3.662 3.431
2.180 -0.399 2.273
0.669 -3.130 0.402
```



[12]
A relaxed Ni2AsPb crystal, computed with GGA-PBE.

## Properties
**Fermi-level density of states**: 1.388 states/eV per atom
**Calculated volume**: 68.3 Å³/cell
**E_form**: 0.529 eV per atom

POSCAR file:
```
Ni2AsPb
1.0
-4.264 -0.396 1.645
-2.914 -3.003 -1.880
-1.225 -3.765 2.317
Pb Ni As
1 2 1
Cartesian
-6.302 -5.373 1.561
0.000 0.000 0.000
-2.101 -1.791 0.520
-4.202 -3.582 1.041
```



[13]
A relaxed CaLaTmAl crystal, computed with GGA-PBE.

## Properties
**Fermi-level density of states**: 0.725 states/eV per atom
**Calculated volume**: 115.9 Å³/cell
**E_form**: -0.055 eV per atom

POSCAR file:
```
CaLaTmAl
1.0
5.473 0.000 0.000
2.737 4.740 0.000
2.737 1.580 4.469
Al La Tm Ca
1 1 1 1
Cartesian
8.210 4.740 3.352
5.473 3.160 2.234
0.000 0.000 0.000
2.737 1.580 1.117
```



[14]
A relaxed Eu2CdSn crystal, computed with GGA-PBE.

## Properties
**Fermi-level density of states**: 3.938 states/eV per atom
**Calculated volume**: 121.6 Å³/cell
**E_form**: -0.577 eV per atom

POSCAR file:
```
Eu2CdSn
1.0
5.561 0.000 0.000
2.781 4.816 0.000
2.781 1.605 4.541
Sn Cd Eu
1 1 2
Cartesian
8.342 4.816 3.405
2.781 1.605 1.135
5.561 3.211 2.270
0.000 0.000 0.000
```



[15]
A relaxed HfZn2HAu crystal, computed with GGA-PBE.

## Properties
**Fermi-level density of states**: 0.337 states/eV per atom
**Calculated volume**: 70.8 Å³/cell
**Electronic total energy**: -20.05 eV per cell

POSCAR file:
```
HfZn2HAu
1.0
4.200 0.000 0.000
0.000 4.200 0.000
0.000 0.000 4.015
Hf H Au Zn
1 1 1 2
Cartesian
0.000 0.000 2.008
0.000 0.000 0.000
2.100 2.100 2.008
0.000 2.100 0.000
2.100 0.000 0.000
```



[16]
A relaxed Si2HgRh crystal, computed with GGA-PBE.

## Properties
**Fermi-level density of states**: 0.626 states/eV per atom
**Calculated volume**: 66.5 Å³/cell
**Electronic total energy**: -16.74 eV per cell

POSCAR file:
```
Si2HgRh
1.0
4.547 0.000 0.000
2.274 3.938 0.000
2.274 1.313 3.713
Rh Hg Si
1 1 2
Cartesian
6.821 3.938 2.785
4.547 2.625 1.856
0.000 0.000 0.000
2.274 1.313 0.928
```



[17]
A relaxed TmTlPt2 crystal, computed with GGA-PBE.

## Properties
**Fermi-level density of states**: 0.720 states/eV per atom
**Calculated volume**: 81.7 Å³/cell
**E_form**: -0.702 eV per atom

POSCAR file:
```
TmTlPt2
1.0
3.504 0.000 0.000
0.000 3.504 0.000
0.000 0.000 6.660
Tm Pt Tl
1 2 1
Cartesian
1.752 1.752 0.000
0.000 0.000 5.126
0.000 0.000 1.534
1.752 1.752 3.330
```



[18]
A relaxed Zr5Be4 crystal, computed with GGA-PBE.

## Properties
**E above lowest polymorph**: 0.230 eV/atom
**Fermi-level density of states**: 0.908 states/eV per atom
**Calculated volume**: 151.8 Å³/cell
**E_form**: 0.231 eV per atom

POSCAR file:
```
Zr5Be4
1.0
4.352 -3.209 3.498
-5.670 -0.605 -2.992
3.540 0.232 -5.374
Be Zr
4 5
Cartesian
-0.774 -0.136 -3.039
5.025 -1.896 -1.195
-1.356 -0.238 -5.327
2.867 -1.081 -0.682
0.000 0.000 0.000
-2.402 -1.454 -0.876
1.879 -1.092 -3.340
1.084 -2.360 1.382
0.343 -2.490 -1.529
```



[19]
A relaxed CdSi2O2 crystal, computed with GGA-PBE.

## Properties
**E above lowest polymorph**: 0.000 eV/atom
**Fermi-level density of states**: 0.187 states/eV per atom
**Calculated volume**: 75.7 Å³/cell

POSCAR file:
```
CdSi2O2
1.0
-1.535 2.764 -1.346
-1.376 0.727 3.064
3.671 5.303 2.317
O Si Cd
2 2 1
Cartesian
0.340 4.906 0.915
0.420 3.888 3.120
0.442 5.818 2.672
0.318 2.976 1.363
0.000 0.000 0.000
```



[20]
A relaxed BaCaIN2 crystal, computed with GGA-PBE.

## Properties
**E above lowest polymorph**: 0.416 eV/atom
**Fermi-level density of states**: 0.221 states/eV per atom
**Calculated volume**: 149.9 Å³/cell

POSCAR file:
```
BaCaIN2
1.0
4.792 0.000 0.000
0.000 4.792 0.000
0.000 0.000 6.529
N Ca I Ba
2 1 1 1
Cartesian
2.396 0.000 0.000
0.000 2.396 0.000
2.396 2.396 3.265
0.000 0.000 3.265
0.000 0.000 0.000
```